{
  "formula": "K2AuCl4",
  "functional": "PBE",
  "state": "optimized geometry",
  "cell": [[-2.5388, 2.5388, 8.0447], [2.5388, -2.5388, 8.0447], [2.5388, 2.5388, -8.0447]],
  "species": ["K", "K", "Au", "Cl", "Cl", "Cl", "Cl"],
  "frac_coords": [[0.1406, 0.1406, 0.0000], [0.8594, 0.8594, 0.0000], [0.5000, 0.5000, 0.0000], [0.0000, 0.5000, 0.5000], [0.3346, 0.3346, 0.0000], [0.5000, 0.0000, 0.5000], [0.6654, 0.6654, 0.0000]],
  "e_tot_ev_per_cell": -21.17,
  "m_tot_mub_per_fu": 0.0,
  "e_form_raw_mev_per_atom": -1187,
  "sg": "No. 139"
}